No. 1
Entry from Alexandria via LeMat-Bulk: crystalline AuSe4Cl at its relaxed geometry (PBE).

The value obtained for the density is 7.0 Mg/m³. Its formation energy without anion corrections is 0.586 eV/atom.

It has space group F-43m (No. 216), with a = 8.038 Å, b = 8.038 Å, c = 8.038 Å, α = 90.00°, β = 90.00° and γ = 90.00°. The asymmetric unit holds Au at (0.000, 0.000, 0.000), Se at (0.124, 0.124, 0.376) and Cl at (0.250, 0.250, 0.750).



No. 2
Entry from Alexandria via LeMat-Bulk: crystalline AuSeCl2 at its relaxed geometry (PBE).

As for the relative energy among the computed polymorphs: 564 meV per atom. The value obtained for the density is 6.4 Mg/m³. Its formation energy without anion corrections is 0.416 eV/atom.

It has space group R-3m (No. 166, hexagonal axes), with a = 3.5787 Å, b = 3.5787 Å, c = 24.2486 Å, α = 90.00°, β = 90.00° and γ = 120.00°. The asymmetric unit holds Au at (0.0000, 0.0000, 0.0000), Se at (0.0000, 0.0000, 0.5000) and Cl at (0.0000, 0.0000, 0.2647).



No. 3
Entry from Alexandria via LeMat-Bulk: crystalline AuSeCl2 at its relaxed geometry (PBE).

As for the relative energy among the computed polymorphs: 396 meV per atom. The value obtained for the density is 6.4 Mg/m³. Its formation energy without anion corrections is 0.248 eV/atom.

It has space group Cmmm (No. 65), with a = 6.432 Å, b = 6.959 Å, c = 4.016 Å, α = 90.00°, β = 90.00° and γ = 90.00°. The asymmetric unit holds Au at (0.000, 0.000, 0.000), Se at (0.000, 0.500, 0.000) and Cl at (0.000, 0.245, 0.500).



No. 4
Entry from Alexandria via LeMat-Bulk: crystalline AuSe2Cl at its relaxed geometry (PBE).

The value obtained for the density is 7.4 Mg/m³. Its formation energy without anion corrections is 0.279 eV/atom.

It has space group R-3m (No. 166, hexagonal axes), with a = 2.9842 Å, b = 2.9842 Å, c = 33.9610 Å, α = 90.00°, β = 90.00° and γ = 120.00°. The asymmetric unit holds Au at (0.0000, 0.0000, 0.0000), Se at (0.0000, 0.0000, 0.0737) and Cl at (0.0000, 0.0000, 0.5000).



Among the records above, which one has the highest formation energy without anion corrections?
AuSe4Cl



Which value of formation energy without anion corrections does entry 2 give?
0.416 eV/atom



The highest density belongs to which entry?
AuSe2Cl



Which value of formation energy without anion corrections does entry 2 give?
0.416 eV/atom